This record from the Alexandria database describes an optimized crystal structure of Li6MnNiP2C2O14. The functional is PBE with a Hubbard U.

```
data_Li6MnNiP2C2O14
_chemical_formula_sum 'Li6 Mn1 Ni1 P2 C2 O14'
_cell_length_a 6.490
_cell_length_b 4.998
_cell_length_c 8.517
_cell_angle_alpha 83.89
_cell_angle_beta 90.00
_cell_angle_gamma 90.00
_space_group_name_H-M_alt 'P 1'
_space_group_IT_number 1
_space_group_name_Hall 'P 1'
loop_
_atom_site_label
_atom_site_fract_x
_atom_site_fract_y
_atom_site_fract_z
_atom_site_occupancy
O1 0.000 0.604 0.903 1
O2 0.000 0.927 0.071 1
P1 0.500 0.731 0.407 1
O3 0.312 0.842 0.306 1
O4 0.688 0.842 0.306 1
Li1 0.732 0.266 0.271 1
Li2 0.767 0.731 0.729 1
C1 0.000 0.677 0.045 1
O5 0.500 0.517 0.842 1
O6 0.500 0.820 0.575 1
Mn1 0.500 0.220 0.659 1
C2 0.500 0.331 0.963 1
O7 0.500 0.399 0.106 1
O8 0.000 0.156 0.424 1
Li3 0.500 0.799 0.103 1
O9 0.815 0.156 0.693 1
O10 0.000 0.498 0.169 1
O11 0.500 0.417 0.422 1
Li4 0.268 0.266 0.271 1
O12 0.185 0.156 0.693 1
Li5 0.000 0.203 0.895 1
O13 0.500 0.082 0.936 1
P2 0.000 0.261 0.587 1
O14 0.000 0.576 0.563 1
Li6 0.233 0.731 0.729 1
Ni1 0.000 0.790 0.333 1
```

Computed properties:
Total DFT energy (no corrections) (eV/atom): -6.616